A PBEsol-optimized structure of Sc2BeAu. Source: the Alexandria database, functional meta-GGA SCAN.

Output
D(E_F) ... 2.043 states/eV/cell
Energy of formation ... -0.586 eV/atom
DFT total energy ... -104.3 eV/cell

Unit cell a=3.2670 b=3.2670 c=6.4118 alpha=90.00 beta=90.00 gamma=90.00
Closest atoms and distances in Å follow each position.
Fractional coordinates of all 4 atoms:
Be (0.5000, 0.5000, 0.5000)  8 Sc 2.75
Sc (0.0000, 0.0000, 0.2665)  4 Be 2.75, 4 Au 2.87, 1 Sc 2.99
Sc (0.0000, 0.0000, 0.7335)  4 Be 2.75, 4 Au 2.87, 1 Sc 2.99
Au (0.5000, 0.5000, 0.0000)  8 Sc 2.87, 2 Be 3.21

=====

A PBEsol-optimized structure of LiDy3. Source: the Alexandria database, functional meta-GGA SCAN.

Output
D(E_F) ... 11.644 states/eV/cell
Energy of formation ... 0.188 eV/atom
DFT total energy ... -290.1 eV/cell

Unit cell a=5.4071 b=6.8636 c=6.8636 alpha=120.00 beta=90.00 gamma=90.00
Closest atoms and distances in Å follow each position.
Fractional coordinates of all 8 atoms:
Dy (0.7500, 0.8316, 0.1684)  4 Li 3.34-3.43, 8 Dy 3.36-3.47
Dy (0.2500, 0.1684, 0.3369)  4 Li 3.34-3.43, 8 Dy 3.36-3.47
Dy (0.2500, 0.6631, 0.8316)  4 Li 3.34-3.43, 8 Dy 3.36-3.47
Dy (0.7500, 0.3369, 0.1684)  4 Li 3.34-3.43, 8 Dy 3.36-3.47
Dy (0.7500, 0.8316, 0.6631)  4 Li 3.34-3.43, 8 Dy 3.36-3.47
Dy (0.2500, 0.1684, 0.8316)  4 Li 3.34-3.43, 8 Dy 3.36-3.47
Li (0.2500, 0.6667, 0.3333)  12 Dy 3.34-3.43
Li (0.7500, 0.3333, 0.6667)  12 Dy 3.34-3.43

=====

A PBEsol-optimized structure of BeSb2TeF. Source: the Alexandria database, functional meta-GGA SCAN.

Output
D(E_F) ... 2.499 states/eV/cell
DFT total energy ... -119.2 eV/cell
Uncorrected formation energy ... 0.09 eV per atom

Unit cell a=4.7888 b=4.7888 c=4.8071 alpha=90.00 beta=90.00 gamma=90.00
Closest atoms and distances in Å follow each position.
Fractional coordinates of all 5 atoms:
Sb (0.0000, 0.5000, 0.0000)  2 Be 2.39
Sb (0.5000, 0.0000, 0.0000)  2 Be 2.39
F (0.5000, 0.5000, 0.5000)  4 Te 3.39, 8 Sb 3.39
Te (0.0000, 0.0000, 0.5000)  2 Be 2.40
Be (0.0000, 0.0000, 0.0000)  4 Sb 2.39, 2 Te 2.40

=====

A PBEsol-optimized structure of La2MgTl2. Source: the Alexandria database, functional meta-GGA SCAN.

Output
D(E_F) ... 8.767 states/eV/cell
Energy of formation ... -0.572 eV/atom
DFT total energy ... -477.5 eV/cell

Unit cell a=4.8573 b=7.8155 c=7.8155 alpha=90.00 beta=90.00 gamma=90.00
Closest atoms and distances in Å follow each position.
Fractional coordinates of all 10 atoms:
Tl (0.0000, 0.6393, 0.1393)  2 Mg 3.02, 1 Tl 3.08, 2 La 3.25
Tl (0.0000, 0.1393, 0.3607)  2 Mg 3.02, 1 Tl 3.08, 2 La 3.25
Tl (0.0000, 0.3607, 0.8607)  2 Mg 3.02, 1 Tl 3.08, 2 La 3.25
Tl (0.0000, 0.8607, 0.6393)  2 Mg 3.02, 1 Tl 3.08, 2 La 3.25
La (0.5000, 0.1653, 0.6653)  6 Tl 3.25-3.41
La (0.5000, 0.8347, 0.3347)  6 Tl 3.25-3.41
La (0.5000, 0.6653, 0.8347)  6 Tl 3.25-3.41
La (0.5000, 0.3347, 0.1653)  6 Tl 3.25-3.41
Mg (0.0000, 0.5000, 0.5000)  4 Tl 3.02
Mg (0.0000, 0.0000, 0.0000)  4 Tl 3.02

=====

Q: Among the records above, which one has the lowest D(E_F)?
A: Sc2BeAu